# YAg2

A PBEsol-optimized structure of YAg2 (meta-GGA SCAN, Alexandria).

Formation energy in meV per atom: -281
Density in Mg/m³: 8.13
E in eV for the cell shown: -365.7

Cell: 3.753 13.832 4.793 Å, 90.00 90.00 90.00°
Fractional positions:
Y: 0.000 0.097 0.250
Y: 0.000 0.903 0.750
Y: 0.500 0.403 0.750
Y: 0.500 0.597 0.250
Ag: 0.000 0.233 0.750
Ag: 0.000 0.426 0.250
Ag: 0.000 0.574 0.750
Ag: 0.000 0.767 0.250
Ag: 0.500 0.074 0.750
Ag: 0.500 0.267 0.250
Ag: 0.500 0.733 0.750
Ag: 0.500 0.926 0.250